First-principles (PBEsol) data for K2ZrBr after structural relaxation, as listed in Alexandria.

Properties
As for the symmetry: No. 71. The value obtained for the size of the total moment is 1.434 μB/f.u. As for the crystal system: orthorhombic. The formation energy from raw total energies is 0.11 eV per atom.

```
K2ZrBr
1.0
-2.143 1.948 1.696
-0.219 -3.040 3.216
8.881 4.942 2.224
K Zr Br
2 1 1
Cartesian
2.385 1.362 1.449
4.134 2.489 5.686
-0.109 -1.520 1.608
-1.072 0.974 0.848
```

***

First-principles (PBEsol) data for SrIn3Ir after structural relaxation, as listed in Alexandria.

Properties
For the formation energy, the calculation gives 1951 meV per atom. As for the symmetry: No. 221. The value obtained for the size of the total moment is 0.863 μB/f.u. As for the crystal system: cubic.

```
SrIn3Ir
1.0
-4.467 1.098 -3.399
-0.661 -5.603 -0.941
-3.510 -0.342 4.503
In Ir Sr
3 1 1
Cartesian
-0.331 -2.802 -0.470
-1.755 -0.171 2.251
-2.234 0.549 -1.700
-4.319 -2.423 0.081
0.000 0.000 0.000
```

***

First-principles (PBEsol) data for MgScPt2 after structural relaxation, as listed in Alexandria.

Properties
For the formation energy, the calculation gives -958 meV per atom. As for the symmetry: No. 119. The value obtained for the size of the total moment is 0.000 μB/f.u. As for the crystal system: tetragonal.

```
MgScPt2
1.0
3.849 0.000 0.000
0.000 3.849 0.000
-1.924 -1.924 4.398
Pt Sc Mg
2 1 1
Cartesian
0.000 1.924 2.199
0.000 0.000 0.000
1.924 1.924 0.000
1.924 0.000 2.199
```

***

First-principles (PBEsol) data for LiHoGe after structural relaxation, as listed in Alexandria.

Properties
For the formation energy, the calculation gives -741 meV per atom. As for the symmetry: No. 189. The value obtained for the size of the total moment is 0.000 μB/f.u. As for the crystal system: hexagonal.

```
LiHoGe
1.0
-1.407 -3.878 0.813
6.503 -2.362 -0.016
-2.844 2.266 5.887
Ho Ge Li
3 3 3
Cartesian
-1.629 1.298 3.373
3.726 -1.353 -0.009
1.563 -0.041 2.507
0.000 0.000 0.000
-0.431 -1.216 4.326
2.684 -2.759 2.358
0.808 -2.488 0.403
-1.364 -1.412 1.775
2.106 -2.013 4.913
```